ReSi3 after structural relaxation. Source: Alexandria via LeMat-Bulk, functional PBE-GGA.

The calculation puts the total magnetization at 0.000 Bohr magnetons per cell. The formation energy from raw total energies comes out at 0.17 eV per atom. Its total energy is -7.005 eV/atom. As for the density of states at the Fermi level: 1.6 states/eV/cell.

abc: 4.345 4.345 3.048
angles: 90.00 90.00 109.76
Element x y z (fractional)
Re 0.000 0.000 0.000
Si 0.000 0.500 0.500
Si 0.500 0.000 0.500
Si 0.500 0.500 0.000

ReSi3 after structural relaxation. Source: Alexandria via LeMat-Bulk, functional PBE-GGA.

The calculation puts the total magnetization at 0.000 Bohr magnetons per cell. The formation energy from raw total energies comes out at 0.14 eV per atom. Its total energy is -7.038 eV/atom. As for the density of states at the Fermi level: 1.3 states/eV/cell.

abc: 3.222 3.222 5.139
angles: 90.00 90.00 90.00
Element x y z (fractional)
Re 0.000 0.000 0.000
Si 0.000 0.000 0.500
Si 0.500 0.500 0.262
Si 0.500 0.500 0.738

Re2Si after structural relaxation. Source: Alexandria via LeMat-Bulk, functional PBE-GGA.

The calculation puts the total magnetization at 0.000 Bohr magnetons per cell. The formation energy from raw total energies comes out at 0.09 eV per atom. Its total energy is -10.019 eV/atom. The value obtained for the energy above the most stable polymorph in this dataset is 7.929 kcal/mol of atoms. As for the density of states at the Fermi level: 8.6 states/eV/cell.

abc: 6.138 6.138 3.969
angles: 90.00 90.00 120.00
Element x y z (fractional)
Re 0.000 0.251 0.000
Re 0.000 0.563 0.500
Re 0.251 0.000 0.000
Re 0.437 0.437 0.500
Re 0.563 0.000 0.500
Re 0.749 0.749 0.000
Si 0.000 0.000 0.500
Si 0.333 0.667 0.000
Si 0.667 0.333 0.000

Re5Si3 after structural relaxation. Source: Alexandria via LeMat-Bulk, functional PBE-GGA.

The calculation puts the total magnetization at 0.000 Bohr magnetons per cell. The formation energy from raw total energies comes out at -0.09 eV per atom. Its total energy is -9.903 eV/atom. As for the density of states at the Fermi level: 10.0 states/eV/cell.

abc: 7.126 7.126 7.126
angles: 96.94 96.94 139.31
Element x y z (fractional)
Re 0.072 0.777 0.849
Re 0.223 0.072 0.296
Re 0.250 0.750 0.500
Re 0.277 0.572 0.849
Re 0.428 0.277 0.704
Re 0.572 0.723 0.296
Re 0.723 0.428 0.151
Re 0.750 0.250 0.500
Re 0.777 0.928 0.704
Re 0.928 0.223 0.151
Si 0.172 0.328 0.500
Si 0.250 0.250 0.000
Si 0.328 0.828 0.157
Si 0.672 0.172 0.843
Si 0.750 0.750 0.000
Si 0.828 0.672 0.500

Re3Si2 after structural relaxation. Source: Alexandria via LeMat-Bulk, functional PBE-GGA.

The calculation puts the total magnetization at 0.000 Bohr magnetons per cell. The formation energy from raw total energies comes out at -0.03 eV per atom. Its total energy is -9.667 eV/atom. The value obtained for the energy above the most stable polymorph in this dataset is 0.119 kcal/mol of atoms. As for the density of states at the Fermi level: 3.5 states/eV/cell.

abc: 10.443 10.443 10.443
angles: 15.47 15.47 15.47
Element x y z (fractional)
Re 0.000 0.000 0.000
Re 0.201 0.201 0.201
Re 0.799 0.799 0.799
Si 0.398 0.398 0.398
Si 0.602 0.602 0.602

ReSi2 after structural relaxation. Source: Alexandria via LeMat-Bulk, functional PBE-GGA.

The calculation puts the total magnetization at 0.000 Bohr magnetons per cell. The formation energy from raw total energies comes out at -0.07 eV per atom. Its total energy is -7.834 eV/atom. As for the density of states at the Fermi level: 3.1 states/eV/cell.

abc: 6.391 6.391 4.510
angles: 90.00 90.00 152.79
Element x y z (fractional)
Re 0.209 0.791 0.750
Re 0.791 0.209 0.250
Si 0.123 0.877 0.250
Si 0.454 0.546 0.250
Si 0.546 0.454 0.750
Si 0.877 0.123 0.750

ReSi2 after structural relaxation. Source: Alexandria via LeMat-Bulk, functional PBE-GGA.

The calculation puts the total magnetization at 0.000 Bohr magnetons per cell. The formation energy from raw total energies comes out at -0.11 eV per atom. Its total energy is -7.878 eV/atom. As for the density of states at the Fermi level: 2.2 states/eV/cell.

abc: 6.152 6.152 4.274
angles: 90.00 90.00 150.23
Element x y z (fractional)
Re 0.099 0.901 0.750
Re 0.901 0.099 0.250
Si 0.231 0.769 0.250
Si 0.431 0.569 0.750
Si 0.569 0.431 0.250
Si 0.769 0.231 0.750

ReSi4 after structural relaxation. Source: Alexandria via LeMat-Bulk, functional PBE-GGA.

The calculation puts the total magnetization at 0.000 Bohr magnetons per cell. The formation energy from raw total energies comes out at 0.45 eV per atom. Its total energy is -6.376 eV/atom. The value obtained for the energy above the most stable polymorph in this dataset is 0.483 kcal/mol of atoms. As for the density of states at the Fermi level: 2.4 states/eV/cell.

abc: 7.778 7.778 7.778
angles: 156.16 156.16 33.97
Element x y z (fractional)
Re 0.000 0.000 0.000
Si 0.250 0.750 0.500
Si 0.411 0.411 0.000
Si 0.589 0.589 0.000
Si 0.750 0.250 0.500